<w>
# PBE-GGA BeFe2Bi, relaxed
# **Magnetic moment**: 1.1664 μB/atom
data_BeFe2Bi
_chemical_formula_sum 'Be4 Fe8 Bi4'
_space_group_name_H-M_alt 'P m -3 m'
_space_group_IT_number 221
_space_group_name_Hall '-P 4 2 3'
_cell_length_a 6.225
_cell_length_b 6.225
_cell_length_c 6.225
_cell_angle_alpha 90.00
_cell_angle_beta 90.00
_cell_angle_gamma 90.00
loop_
_atom_site_label
_atom_site_fract_x
_atom_site_fract_y
_atom_site_fract_z
Be1 0.000 0.000 0.000
Be2 0.000 0.000 0.500
Fe1 0.199 0.199 0.199
Bi1 0.000 0.500 0.500
Bi2 0.500 0.500 0.500

---

<x>
# PBE-GGA BeFe2Bi, relaxed
# **Magnetic moment**: 1.0687 μB/atom
data_BeFe2Bi
_chemical_formula_sum 'Be4 Fe8 Bi4'
_space_group_name_H-M_alt 'F -4 3 m'
_space_group_IT_number 216
_space_group_name_Hall 'F -4 2 3'
_cell_length_a 6.106
_cell_length_b 6.106
_cell_length_c 6.106
_cell_angle_alpha 90.00
_cell_angle_beta 90.00
_cell_angle_gamma 90.00
loop_
_atom_site_label
_atom_site_fract_x
_atom_site_fract_y
_atom_site_fract_z
Be1 0.000 0.000 0.000
Fe1 0.000 0.000 0.500
Fe2 0.250 0.250 0.750
Bi1 0.250 0.250 0.250

---

Verdict on stability: <x> comes out at the bottom.